Record 1
Compound: Tb3PmTl4Se8
Source: Alexandria via LeMat-Bulk
Functional: PBE-GGA
Structure: optimized geometry

Lattice parameters (Å, degrees): 8.4545 8.4545 23.3051 90.00 90.00 120.00
Space group R-3m (No. 166, hexagonal axes)
One atom of each set of equivalent atoms:
Tb 0.0000 0.5000 0.0000 [9 per cell]
Pm 0.0000 0.0000 0.0000 [3 per cell]
Tl 0.0000 0.0000 0.5000 [3 per cell]
Tl 0.0000 0.5000 0.5000 [9 per cell]
Se 0.0000 0.0000 0.2652 [6 per cell]
Se 0.0047 0.5024 0.2644 [18 per cell]

---

Record 2
Compound: Tb2PmTl3Se6
Source: Alexandria via LeMat-Bulk
Functional: PBE-GGA
Structure: optimized geometry

Lattice parameters (Å, degrees): 7.335 12.705 8.142 90.00 107.48 90.00
Space group C2/m (No. 12)
One atom of each set of equivalent atoms:
Tb 0.000 0.167 0.000 [4 per cell]
Pm 0.000 0.500 0.000 [2 per cell]
Tl 0.000 0.000 0.500 [2 per cell]
Tl 0.000 0.334 0.500 [4 per cell]
Se 0.230 0.000 0.206 [4 per cell]
Se 0.238 0.331 0.207 [8 per cell]

---

Record 3
Compound: TbPm2TmSe6
Source: Alexandria via LeMat-Bulk
Functional: PBE-GGA
Structure: optimized geometry

Lattice parameters (Å, degrees): 7.3053 7.3053 19.5146 90.00 90.00 120.00
Space group R3 (No. 146, hexagonal axes)
One atom of each set of equivalent atoms:
Tb 0.0000 0.0000 0.0000 [3 per cell]
Pm 0.0000 0.0000 0.2996 [3 per cell]
Pm 0.0000 0.0000 0.8004 [3 per cell]
Tm 0.0000 0.0000 0.4989 [3 per cell]
Se 0.0390 0.6860 0.5701 [9 per cell]
Se 0.0410 0.3595 0.0710 [9 per cell]

---

Record 4
Compound: TbPm3Tm2Se6
Source: Alexandria via LeMat-Bulk
Functional: PBE-GGA
Structure: optimized geometry

Lattice parameters (Å, degrees): 7.053 12.281 7.248 90.00 109.04 90.00
Space group C2/m (No. 12)
One atom of each set of equivalent atoms:
Tb 0.000 0.000 0.000 [2 per cell]
Pm 0.000 0.163 0.500 [4 per cell]
Pm 0.000 0.500 0.500 [2 per cell]
Tm 0.000 0.334 0.000 [4 per cell]
Se 0.239 0.500 0.234 [4 per cell]
Se 0.248 0.169 0.236 [8 per cell]

---

Record 5
Compound: TbPm4Tm3Se8
Source: Alexandria via LeMat-Bulk
Functional: PBE-GGA
Structure: optimized geometry

Lattice parameters (Å, degrees): 8.1386 8.1386 20.6667 90.00 90.00 120.00
Space group R-3m (No. 166, hexagonal axes)
One atom of each set of equivalent atoms:
Tb 0.0000 0.0000 0.0000 [3 per cell]
Pm 0.0000 0.0000 0.5000 [3 per cell]
Pm 0.0000 0.5000 0.5000 [9 per cell]
Tm 0.0000 0.5000 0.0000 [9 per cell]
Se 0.0000 0.0000 0.2560 [6 per cell]
Se 0.0037 0.5019 0.2552 [18 per cell]

---

Record 6
Compound: TbPm2TmSe4
Source: Alexandria via LeMat-Bulk
Functional: PBE-GGA
Structure: optimized geometry

Lattice parameters (Å, degrees): 7.086 4.061 7.294 90.00 108.67 90.00
Space group P2/m (No. 10)
One atom of each set of equivalent atoms:
Tb 0.000 0.000 0.000 [1 per cell]
Pm 0.000 0.500 0.500 [1 per cell]
Pm 0.500 0.000 0.500 [1 per cell]
Tm 0.500 0.500 0.000 [1 per cell]
Se 0.249 0.500 0.238 [2 per cell]
Se 0.259 0.000 0.765 [2 per cell]

---

Record 7
Compound: Tb4PmTmSe8
Source: Alexandria via LeMat-Bulk
Functional: PBE-GGA
Structure: optimized geometry

Lattice parameters (Å, degrees): 8.4726 8.4726 20.6681 90.00 90.00 120.00
Space group R3m (No. 160, hexagonal axes)
One atom of each set of equivalent atoms:
Tb 0.0000 0.0000 0.0000 [3 per cell]
Tb 0.0015 0.5007 0.8761 [9 per cell]
Pm 0.0000 0.0000 0.7518 [3 per cell]
Tm 0.0000 0.0000 0.3756 [3 per cell]
Se 0.0000 0.0000 0.1324 [3 per cell]
Se 0.0000 0.0000 0.6170 [3 per cell]
Se 0.0294 0.5147 0.1276 [9 per cell]
Se 0.1783 0.3566 0.9586 [9 per cell]

---

Record 8
Compound: Tb3Pm2TmSe6
Source: Alexandria via LeMat-Bulk
Functional: PBE-GGA
Structure: optimized geometry

Lattice parameters (Å, degrees): 17.928 4.099 8.278 90.00 103.12 90.00
Space group C2/m (No. 12)
One atom of each set of equivalent atoms:
Tb 0.000 0.000 0.000 [2 per cell]
Tb 0.171 0.500 0.334 [4 per cell]
Pm 0.169 0.500 0.837 [4 per cell]
Tm 0.000 0.000 0.500 [2 per cell]
Se 0.003 0.500 0.257 [4 per cell]
Se 0.162 0.000 0.575 [4 per cell]
Se 0.163 0.000 0.088 [4 per cell]

---

Record 9
Compound: TbPmTm2Se4
Source: Alexandria via LeMat-Bulk
Functional: PBE-GGA
Structure: optimized geometry

Lattice parameters (Å, degrees): 7.006 4.014 7.221 90.00 108.62 90.00
Space group P2/m (No. 10)
One atom of each set of equivalent atoms:
Tb 0.000 0.000 0.000 [1 per cell]
Pm 0.500 0.500 0.000 [1 per cell]
Tm 0.000 0.500 0.500 [1 per cell]
Tm 0.500 0.000 0.500 [1 per cell]
Se 0.241 0.000 0.736 [2 per cell]
Se 0.250 0.500 0.261 [2 per cell]

---

Record 10
Compound: TbPmTm2Se6
Source: Alexandria via LeMat-Bulk
Functional: PBE-GGA
Structure: optimized geometry

Lattice parameters (Å, degrees): 7.2235 7.2235 19.3897 90.00 90.00 120.00
Space group R3 (No. 146, hexagonal axes)
One atom of each set of equivalent atoms:
Tb 0.0000 0.0000 0.0000 [3 per cell]
Pm 0.0000 0.0000 0.5032 [3 per cell]
Tm 0.0000 0.0000 0.3051 [3 per cell]
Tm 0.0000 0.0000 0.8031 [3 per cell]
Se 0.0110 0.3119 0.3989 [9 per cell]
Se 0.0207 0.7096 0.8993 [9 per cell]

---

Record 11
Compound: TbPm2YSe4
Source: Alexandria via LeMat-Bulk
Functional: PBE-GGA
Structure: optimized geometry

Lattice parameters (Å, degrees): 7.151 4.087 7.274 90.00 108.80 90.00
Space group P2/m (No. 10)
One atom of each set of equivalent atoms:
Tb 0.000 0.000 0.000 [1 per cell]
Pm 0.000 0.500 0.500 [1 per cell]
Pm 0.500 0.000 0.500 [1 per cell]
Y 0.500 0.500 0.000 [1 per cell]
Se 0.247 0.500 0.240 [2 per cell]
Se 0.254 0.000 0.760 [2 per cell]

---

Record 12
Compound: Tb4PmY3Se8
Source: Alexandria via LeMat-Bulk
Functional: PBE-GGA
Structure: optimized geometry

Lattice parameters (Å, degrees): 8.2135 8.2135 20.1139 90.00 90.00 120.00
Space group R-3m (No. 166, hexagonal axes)
One atom of each set of equivalent atoms:
Tb 0.0000 0.0000 0.0000 [3 per cell]
Tb 0.0000 0.5000 0.0000 [9 per cell]
Pm 0.0000 0.0000 0.5000 [3 per cell]
Y 0.0000 0.5000 0.5000 [9 per cell]
Se 0.0000 0.0000 0.2497 [6 per cell]
Se 0.0046 0.5023 0.7491 [18 per cell]

---

Record 13
Compound: TbPm2YSe6
Source: Alexandria via LeMat-Bulk
Functional: PBE-GGA
Structure: optimized geometry

Lattice parameters (Å, degrees): 7.3319 7.3319 19.6032 90.00 90.00 120.00
Space group R3 (No. 146, hexagonal axes)
One atom of each set of equivalent atoms:
Tb 0.0000 0.0000 0.0000 [3 per cell]
Pm 0.0000 0.0000 0.3002 [3 per cell]
Pm 0.0000 0.0000 0.8005 [3 per cell]
Y 0.0000 0.0000 0.4996 [3 per cell]
Se 0.0381 0.3577 0.5700 [9 per cell]
Se 0.0382 0.6792 0.0700 [9 per cell]

---

Record 14
Compound: Tb3Pm2YSe6
Source: Alexandria via LeMat-Bulk
Functional: PBE-GGA
Structure: optimized geometry

Lattice parameters (Å, degrees): 17.999 4.110 8.302 90.00 103.62 90.00
Space group C2/m (No. 12)
One atom of each set of equivalent atoms:
Tb 0.000 0.000 0.000 [2 per cell]
Tb 0.169 0.500 0.333 [4 per cell]
Pm 0.168 0.500 0.836 [4 per cell]
Y 0.000 0.000 0.500 [2 per cell]
Se 0.002 0.500 0.252 [4 per cell]
Se 0.164 0.000 0.088 [4 per cell]
Se 0.165 0.000 0.576 [4 per cell]

---

Record 15
Compound: Tb3PmY2Se6
Source: Alexandria via LeMat-Bulk
Functional: PBE-GGA
Structure: optimized geometry

Lattice parameters (Å, degrees): 7.092 12.354 7.126 90.00 109.46 90.00
Space group C2/m (No. 12)
One atom of each set of equivalent atoms:
Tb 0.000 0.000 0.000 [2 per cell]
Tb 0.000 0.338 0.000 [4 per cell]
Pm 0.000 0.500 0.500 [2 per cell]
Y 0.000 0.166 0.500 [4 per cell]
Se 0.244 0.000 0.750 [4 per cell]
Se 0.246 0.170 0.246 [8 per cell]

---

Record 16
Compound: Tb3PmY3Se8
Source: Alexandria via LeMat-Bulk
Functional: PBE-GGA
Structure: optimized geometry

Lattice parameters (Å, degrees): 8.1639 8.1639 20.0033 90.00 90.00 120.00
Space group R-3m (No. 166, hexagonal axes)
One atom of each set of equivalent atoms:
Tb 0.0000 0.5000 0.0000 [9 per cell]
Pm 0.0000 0.0000 0.5000 [3 per cell]
Y 0.0000 0.5000 0.5000 [9 per cell]
Se 0.0000 0.0000 0.2497 [6 per cell]
Se 0.0109 0.5054 0.7475 [18 per cell]

---

Record 17
Compound: TbPm2YSe5
Source: Alexandria via LeMat-Bulk
Functional: PBE-GGA
Structure: optimized geometry

Lattice parameters (Å, degrees): 5.176 5.176 10.757 90.00 90.00 90.00
Space group P4/mmm (No. 123)
One atom of each set of equivalent atoms:
Tb 0.000 0.000 0.000 [1 per cell]
Pm 0.500 0.500 0.170 [2 per cell]
Y 0.000 0.000 0.500 [1 per cell]
Se 0.000 0.000 0.255 [2 per cell]
Se 0.000 0.500 0.000 [2 per cell]
Se 0.500 0.500 0.500 [1 per cell]

---

Record 18
Compound: Tb2PmYSe6
Source: Alexandria via LeMat-Bulk
Functional: PBE-GGA
Structure: optimized geometry

Lattice parameters (Å, degrees): 7.2836 7.2836 19.5621 90.00 90.00 120.00
Space group R3 (No. 146, hexagonal axes)
One atom of each set of equivalent atoms:
Tb 0.0000 0.0000 0.0000 [3 per cell]
Tb 0.0000 0.0000 0.4978 [3 per cell]
Pm 0.0000 0.0000 0.1985 [3 per cell]
Y 0.0000 0.0000 0.6952 [3 per cell]
Se 0.0004 0.3065 0.0963 [9 per cell]
Se 0.0108 0.7055 0.5968 [9 per cell]

---

Record 19
Compound: Tb2PmY3Se6
Source: Alexandria via LeMat-Bulk
Functional: PBE-GGA
Structure: optimized geometry

Lattice parameters (Å, degrees): 7.087 12.345 7.126 90.00 109.44 90.00
Space group C2/m (No. 12)
One atom of each set of equivalent atoms:
Tb 0.000 0.166 0.000 [4 per cell]
Pm 0.000 0.500 0.000 [2 per cell]
Y 0.000 0.000 0.500 [2 per cell]
Y 0.000 0.338 0.500 [4 per cell]
Se 0.245 0.000 0.252 [4 per cell]
Se 0.245 0.170 0.745 [8 per cell]

---

Record 20
Compound: Tb3Pm3YSe8
Source: Alexandria via LeMat-Bulk
Functional: PBE-GGA
Structure: optimized geometry

Lattice parameters (Å, degrees): 8.2406 8.2406 20.3183 90.00 90.00 120.00
Space group R-3m (No. 166, hexagonal axes)
One atom of each set of equivalent atoms:
Tb 0.0000 0.5000 0.0000 [9 per cell]
Pm 0.0000 0.5000 0.5000 [9 per cell]
Y 0.0000 0.0000 0.0000 [3 per cell]
Se 0.0000 0.0000 0.2529 [6 per cell]
Se 0.0046 0.5023 0.2517 [18 per cell]

---

Record 21
Compound: TbPmY2Se4
Source: Alexandria via LeMat-Bulk
Functional: PBE-GGA
Structure: optimized geometry

Lattice parameters (Å, degrees): 7.155 4.065 7.169 90.00 108.84 90.00
Space group P2/m (No. 10)
One atom of each set of equivalent atoms:
Tb 0.000 0.000 0.000 [1 per cell]
Pm 0.000 0.500 0.500 [1 per cell]
Y 0.500 0.000 0.500 [1 per cell]
Y 0.500 0.500 0.000 [1 per cell]
Se 0.254 0.500 0.247 [2 per cell]
Se 0.257 0.000 0.757 [2 per cell]

---

| no. | formation energy from raw total energies (eV/atom) | calculated volume (A^3/atom) |
| --- | --- | --- |
| 1 | -1.39 | 30.06 |
| 2 | -1.39 | 30.16 |
| 3 | -1.85 | 30.06 |
| 4 | -1.77 | 24.73 |
| 5 | -1.76 | 24.70 |
| 6 | -1.78 | 24.86 |
| 7 | -1.72 | 30.59 |
| 8 | -1.77 | 24.69 |
| 9 | -1.73 | 24.05 |
| 10 | -1.84 | 29.21 |
| 11 | -1.80 | 25.16 |
| 12 | -1.77 | 24.48 |
| 13 | -1.85 | 30.42 |
| 14 | -1.79 | 24.87 |
| 15 | -1.78 | 24.53 |
| 16 | -1.84 | 25.66 |
| 17 | -1.22 | 32.02 |
| 18 | -1.85 | 29.96 |
| 19 | -1.78 | 24.50 |
| 20 | -1.87 | 26.55 |
| 21 | -1.78 | 24.67 |